1.
Entry from the Open Quantum Materials Database: La2Au2O5 after structural relaxation (PBE).

The calculation puts the magnetic moment at 0.005 μB per cell. The space-group type is P4/mmm, No. 123.

Unit cell a=7.202 b=4.218 c=4.218 alpha=90.00 beta=90.00 gamma=90.00
Fractional positions:
Au: 0.193 0.500 0.500
Au: 0.807 0.500 0.500
La: 0.000 0.000 0.000
La: 0.500 0.000 0.000
O: 0.226 0.500 0.000
O: 0.774 0.500 0.000
O: 0.226 0.000 0.500
O: 0.774 0.000 0.500
O: 0.500 0.500 0.500

=====

2.
Entry from the Open Quantum Materials Database: LaAuO2 after structural relaxation (PBE).

The calculation puts the magnetic moment at 0.004 μB per cell. The space-group type is P6_3/mmc, No. 194.

Unit cell a=3.861 b=3.861 c=11.973 alpha=90.00 beta=90.00 gamma=120.00
Fractional positions:
Au: 0.333 0.667 0.250
Au: 0.667 0.333 0.750
La: 0.000 0.000 0.000
La: 0.000 0.000 0.500
O: 0.333 0.667 0.081
O: 0.333 0.667 0.419
O: 0.667 0.333 0.581
O: 0.667 0.333 0.919

=====

3.
Entry from the Open Quantum Materials Database: La2Au2O5 after structural relaxation (PBE).

The calculation puts the magnetic moment at 1.685 μB per cell. The space-group type is P4/mmm, No. 123.

Unit cell a=9.505 b=4.026 c=4.026 alpha=90.00 beta=90.00 gamma=90.00
Fractional positions:
Au: 0.000 0.000 0.000
Au: 0.500 0.000 0.000
La: 0.253 0.500 0.500
La: 0.747 0.500 0.500
O: 0.136 0.500 0.000
O: 0.864 0.500 0.000
O: 0.136 0.000 0.500
O: 0.864 0.000 0.500
O: 0.500 0.500 0.500

=====

Here are the calculated distance to the lowest polymorph of the same formula numbers, same order: 0 0 190 (meV per atom).